This record from Alexandria describes crystalline BaP2H at its relaxed geometry. The functional is PBEsol.

Values from the calculation:
space-group type = Fd-3m (227)
E_tot = -4.349 eV per atom

abc: 5.888 5.888 5.888
angles: 60.00 60.00 60.00
Atoms (fractional coordinates):
P1 0.625 0.625 0.125
H1 0.500 0.500 0.500
Ba1 0.250 0.250 0.250
P2 0.125 0.625 0.625
H2 0.750 0.750 0.750
P3 0.625 0.625 0.625
P4 0.625 0.125 0.625
Ba2 0.000 0.000 0.000

=====

This record from Alexandria describes crystalline Ba2PH at its relaxed geometry. The functional is PBEsol.

Values from the calculation:
space-group type = Fm-3m (225)
E_tot = -4.086 eV per atom

abc: 5.298 5.298 5.298
angles: 60.00 60.00 60.00
Atoms (fractional coordinates):
H1 0.000 0.000 0.000
P1 0.500 0.500 0.500
Ba1 0.250 0.250 0.250
Ba2 0.750 0.750 0.750

=====

This record from Alexandria describes crystalline BaP2HS at its relaxed geometry. The functional is PBEsol.

Values from the calculation:
space-group type = P4/mmm (123)
E_tot = -2.743 eV per atom

abc: 5.646 6.571 6.571
angles: 90.00 90.00 90.00
Site moments in Bohr magnetons follow the coordinates.
Atoms (fractional coordinates):
H1 0.500 0.500 0.500  0.37
Ba1 0.000 0.000 0.000  0.06
P1 0.000 0.500 0.000  1.01
P2 0.000 0.000 0.500  1.01
S1 0.500 0.000 0.000  0.09

=====

This record from Alexandria describes crystalline Ba2H2Pb at its relaxed geometry. The functional is PBEsol.

Values from the calculation:
space-group type = I4/mmm (139)
E_tot = -3.459 eV per atom

abc: 4.105 4.105 8.491
angles: 103.99 103.99 90.00
Atoms (fractional coordinates):
Ba1 0.651 0.651 0.302
H1 0.250 0.750 0.500
Ba2 0.349 0.349 0.698
Pb1 0.000 0.000 0.000
H2 0.750 0.250 0.500

=====

This record from Alexandria describes crystalline Ba3HPb at its relaxed geometry. The functional is PBEsol.

Values from the calculation:
space-group type = Pm-3m (221)
E_tot = -3.163 eV per atom

abc: 5.492 5.492 5.492
angles: 90.00 90.00 90.00
Atoms (fractional coordinates):
Ba1 0.000 0.500 0.000
Pb1 0.500 0.500 0.500
Ba2 0.500 0.000 0.000
Ba3 0.000 0.000 0.500
H1 0.000 0.000 0.000

=====

This record from Alexandria describes crystalline Ba2H4Pd at its relaxed geometry. The functional is PBEsol.

Values from the calculation:
space-group type = Pnma (62)
E_tot = -3.905 eV per atom

abc: 5.678 7.949 10.049
angles: 90.00 90.00 90.00
Atoms (fractional coordinates):
H1 0.991 0.179 0.656
H2 0.491 0.821 0.344
H3 0.750 0.024 0.114
H4 0.509 0.179 0.656
H5 0.750 0.831 0.580
Ba1 0.750 0.987 0.833
Pd1 0.250 0.758 0.919
Pd2 0.250 0.258 0.581
Ba2 0.250 0.352 0.904
H6 0.509 0.679 0.844
H7 0.009 0.821 0.344
Ba3 0.750 0.487 0.667
H8 0.250 0.976 0.886
H9 0.250 0.669 0.080
Ba4 0.250 0.852 0.596
H10 0.991 0.679 0.844
H11 0.750 0.524 0.386
Ba5 0.750 0.648 0.096
H12 0.250 0.169 0.420
Pd3 0.750 0.742 0.419
Ba6 0.250 0.013 0.167
H13 0.491 0.321 0.156
Pd4 0.750 0.242 0.081
H14 0.750 0.331 0.920
Ba7 0.750 0.148 0.404
H15 0.250 0.476 0.614
Ba8 0.250 0.513 0.333
H16 0.009 0.321 0.156

=====

This record from Alexandria describes crystalline Ba2H2Pd at its relaxed geometry. The functional is PBEsol.

Values from the calculation:
space-group type = I4/mmm (139)
E_tot = -3.754 eV per atom

abc: 4.055 4.055 7.499
angles: 105.69 105.69 90.00
Atoms (fractional coordinates):
Ba1 0.366 0.366 0.732
Ba2 0.634 0.634 0.268
H1 0.250 0.750 0.500
H2 0.750 0.250 0.500
Pd1 0.000 0.000 0.000

=====

This record from Alexandria describes crystalline BaHPd2 at its relaxed geometry. The functional is PBEsol.

Values from the calculation:
space-group type = Fd-3m (227)
E_tot = -4.832 eV per atom

abc: 5.826 5.826 5.826
angles: 60.00 60.00 60.00
Atoms (fractional coordinates):
Ba1 0.250 0.250 0.250
Ba2 0.000 0.000 0.000
Pd1 0.625 0.625 0.625
Pd2 0.625 0.125 0.625
Pd3 0.125 0.625 0.625
Pd4 0.625 0.625 0.125
H1 0.500 0.500 0.500
H2 0.750 0.750 0.750

=====

This record from Alexandria describes crystalline Ba2HPdPt at its relaxed geometry. The functional is PBEsol.

Values from the calculation:
space-group type = P4/mmm (123)
E_tot = -4.604 eV per atom

abc: 3.765 5.477 5.477
angles: 90.00 90.00 90.00
Atoms (fractional coordinates):
Ba1 0.000 0.000 0.500
H1 0.000 0.000 0.000
Pt1 0.500 0.000 0.000
Pd1 0.500 0.500 0.500
Ba2 0.000 0.500 0.000

=====

This record from Alexandria describes crystalline BaHPdS2 at its relaxed geometry. The functional is PBEsol.

Values from the calculation:
space-group type = P4/mmm (123)
E_tot = -3.271 eV per atom

abc: 4.056 5.596 5.596
angles: 90.00 90.00 90.00
Site moments in Bohr magnetons follow the coordinates.
Atoms (fractional coordinates):
Pd1 0.500 0.500 0.500  0.47
H1 0.500 0.000 0.000  0.00
S1 0.000 0.000 0.500  0.31
Ba1 0.000 0.000 0.000  0.04
S2 0.000 0.500 0.000  0.31

=====

This record from Alexandria describes crystalline BaSbH2Pd at its relaxed geometry. The functional is PBEsol.

Values from the calculation:
space-group type = P4/mmm (123)
E_tot = -3.310 eV per atom

abc: 4.154 4.154 6.822
angles: 90.00 90.00 90.00
Atoms (fractional coordinates):
Ba1 0.000 0.000 0.000
Sb1 0.000 0.000 0.500
H1 0.500 0.000 0.000
H2 0.000 0.500 0.000
Pd1 0.500 0.500 0.500

=====

This record from Alexandria describes crystalline BaH3Pt at its relaxed geometry. The functional is PBEsol.

Values from the calculation:
space-group type = Pm-3m (221)
E_tot = -4.324 eV per atom

abc: 3.925 3.925 3.925
angles: 90.00 90.00 90.00
Atoms (fractional coordinates):
Ba1 0.500 0.500 0.500
H1 0.000 0.000 0.500
Pt1 0.000 0.000 0.000
H2 0.500 0.000 0.000
H3 0.000 0.500 0.000

=====

This record from Alexandria describes crystalline Ba2H6Pt at its relaxed geometry. The functional is PBEsol.

Values from the calculation:
space-group type = Cmce (64)
E_tot = -4.015 eV per atom

abc: 5.846 5.846 7.734
angles: 112.20 90.00 90.00
Atoms (fractional coordinates):
H1 0.204 0.796 0.000
H2 0.500 0.384 0.767
H3 0.796 0.204 0.000
H4 0.250 0.500 0.500
Pt1 0.500 0.500 0.000
H5 0.296 0.296 0.000
H6 0.704 0.704 0.000
Ba1 0.500 0.859 0.718
Pt2 0.000 0.000 0.000
H7 0.500 0.616 0.233
H8 0.000 0.884 0.767
Ba2 0.000 0.359 0.718
H9 0.750 0.000 0.500
H10 0.750 0.500 0.500
H11 0.000 0.116 0.233
Ba3 0.000 0.641 0.282
Ba4 0.500 0.141 0.282
H12 0.250 0.000 0.500

=====

This record from Alexandria describes crystalline RbBa2H at its relaxed geometry. The functional is PBEsol.

Values from the calculation:
space-group type = I-42d (122)
ΔE to the lowest computed polymorph = 0.00 kJ per mole of atoms

abc: 8.155 8.155 8.155
angles: 95.08 117.11 117.11
Atoms (fractional coordinates):
Ba1 0.329 0.875 0.704
Rb1 0.000 0.000 0.000
H1 0.500 0.250 0.750
H2 0.000 0.500 0.500
Ba2 0.829 0.454 0.125
Ba3 0.671 0.375 0.546
Rb2 0.500 0.750 0.250
Ba4 0.171 0.296 0.625

=====

This record from Alexandria describes crystalline Rb2BaH2 at its relaxed geometry. The functional is PBEsol.

Values from the calculation:
space-group type = I4/mmm (139)
E_tot = -2.010 eV per atom

abc: 5.173 5.173 7.835
angles: 109.28 109.28 90.00
Atoms (fractional coordinates):
Ba1 0.000 0.000 0.000
Rb1 0.680 0.680 0.361
H1 0.250 0.750 0.500
Rb2 0.320 0.320 0.639
H2 0.750 0.250 0.500

=====

This record from Alexandria describes crystalline RbBa2H at its relaxed geometry. The functional is PBEsol.

Values from the calculation:
space-group type = Fm-3m (225)
ΔE to the lowest computed polymorph = 58.83 kJ per mole of atoms

abc: 6.438 6.438 6.438
angles: 60.00 60.00 60.00
Atoms (fractional coordinates):
Ba1 0.250 0.250 0.250
Ba2 0.750 0.750 0.750
Rb1 0.500 0.500 0.500
H1 0.000 0.000 0.000

=====

This record from Alexandria describes crystalline RbBa2H2 at its relaxed geometry. The functional is PBEsol.

Values from the calculation:
space-group type = I4/mmm (139)
E_tot = -2.426 eV per atom

abc: 5.221 5.221 8.081
angles: 108.85 108.85 90.00
Atoms (fractional coordinates):
H1 0.797 0.797 0.593
Ba1 0.750 0.250 0.500
H2 0.203 0.203 0.407
Ba2 0.250 0.750 0.500
Rb1 0.000 0.000 0.000

=====

This record from Alexandria describes crystalline Ba2HRu at its relaxed geometry. The functional is PBEsol.

Values from the calculation:
space-group type = I-42d (122)
E_tot = -3.935 eV per atom

abc: 5.883 5.883 7.842
angles: 112.03 112.03 90.00
Atoms (fractional coordinates):
Ba1 0.125 0.137 0.750
Ba2 0.625 0.613 0.750
H1 0.750 0.250 0.500
Ba3 0.863 0.375 0.250
Ru1 0.250 0.750 0.500
H2 0.500 0.500 0.000
Ru2 0.000 0.000 0.000
Ba4 0.387 0.875 0.250

=====

This record from Alexandria describes crystalline Ba2Sb2H at its relaxed geometry. The functional is PBEsol.

Values from the calculation:
space-group type = I4/mmm (139)
E_tot = -3.561 eV per atom

abc: 6.530 6.544 6.530
angles: 60.07 90.00 119.93
Atoms (fractional coordinates):
Sb1 0.349 0.698 0.651
H1 0.000 0.000 0.000
Ba1 0.250 0.500 0.250
Ba2 0.750 0.500 0.750
Sb2 0.651 0.302 0.349

=====

This record from Alexandria describes crystalline BaSbH3 at its relaxed geometry. The functional is PBEsol.

Values from the calculation:
space-group type = Pm-3m (221)
E_tot = -2.764 eV per atom

abc: 4.566 4.566 4.566
angles: 90.00 90.00 90.00
Site moments in Bohr magnetons follow the coordinates.
Atoms (fractional coordinates):
H1 0.000 0.500 0.000  -0.01
H2 0.500 0.000 0.000  -0.01
Sb1 0.500 0.500 0.500  0.24
Ba1 0.000 0.000 0.000  0.01
H3 0.000 0.000 0.500  -0.01